a:
PBE-GGA AsSe2ClO, relaxed; crystal system = tetragonal; SG = P4/mmm (123)
1.0
4.442 0.000 0.000
0.000 4.442 0.000
0.000 0.000 4.816
As Se Cl O
1 2 1 1
Direct
0.000 0.000 0.000
0.000 0.500 0.500
0.500 0.000 0.500
0.500 0.500 0.000
0.000 0.000 0.500


b:
PBE-GGA AsSe2ClO, relaxed; crystal system = tetragonal; SG = P4/mmm (123)
1.0
4.773 0.000 0.000
0.000 4.773 0.000
0.000 0.000 5.088
As Se Cl O
1 2 1 1
Direct
0.000 0.000 0.000
0.000 0.500 0.500
0.500 0.000 0.500
0.000 0.000 0.500
0.500 0.500 0.000


a wins, 0.983 eV/atom ahead of the next structure.


a:
PBE-GGA As2OsCl, relaxed; crystal system = tetragonal; SG = P4/mmm (123)
1.0
3.077 0.000 0.000
0.000 3.077 0.000
0.000 0.000 7.570
As Os Cl
2 1 1
Direct
0.000 0.000 0.206
0.000 0.000 0.794
0.500 0.500 0.000
0.500 0.500 0.500


b:
PBE-GGA As2OsCl, relaxed; crystal system = tetragonal; SG = P4mm (99)
1.0
2.949 0.000 0.000
0.000 2.949 0.000
0.000 0.000 8.889
As Os Cl
2 1 1
Direct
0.000 0.000 0.000
0.500 0.500 0.291
0.500 0.500 0.834
0.000 0.000 0.632


a wins, 0.421 eV/atom ahead of the next structure.


a:
PBE-GGA AsOsCl3, relaxed; crystal system = cubic; SG = Pm-3m (221)
1.0
5.092 0.000 0.000
0.000 5.092 0.000
0.000 0.000 5.092
As Os Cl
1 1 3
Direct
0.000 0.000 0.000
0.500 0.500 0.500
0.000 0.000 0.500
0.000 0.500 0.000
0.500 0.000 0.000


b:
PBE-GGA AsOsCl3, relaxed; crystal system = cubic; SG = Pm-3m (221)
1.0
4.827 0.000 0.000
0.000 4.827 0.000
0.000 0.000 4.827
As Os Cl
1 1 3
Direct
0.000 0.000 0.000
0.500 0.500 0.500
0.000 0.500 0.500
0.500 0.000 0.500
0.500 0.500 0.000


b wins, 0.470 eV/atom ahead of the next structure.